# 1
NaTlAgCl3 | PBE | optimized geometry

a = 4.257 Å, b = 8.603 Å, c = 9.603 Å
α = 104.46°, β = 90.00°, γ = 90.00°
Positions (direct):
1 Na 0.250 0.658 0.141
2 Na 0.750 0.342 0.859
3 Tl 0.250 0.206 0.213
4 Tl 0.750 0.794 0.787
5 Ag 0.250 0.092 0.596
6 Ag 0.750 0.908 0.404
7 Cl 0.750 0.888 0.133
8 Cl 0.250 0.112 0.867
9 Cl 0.250 0.766 0.470
10 Cl 0.750 0.234 0.530
11 Cl 0.750 0.445 0.157
12 Cl 0.250 0.555 0.843

## Properties
Fermi-level density of states: 0.00 states/eV per atom
ΔE_f (raw): -6.41 eV per formula unit
electronic total energy: -18.5 eV/f.u.
symmetry: P2_1/m (11)

---

# 2
CsPu2MnCl8 | PBE | optimized geometry

a = 6.686 Å, b = 6.546 Å, c = 8.870 Å
α = 90.62°, β = 90.44°, γ = 86.27°
Positions (direct):
1 Cs 0.000 0.000 0.500
2 Pu 0.499 0.500 0.763
3 Pu 0.501 0.500 0.237
4 Mn 0.000 0.000 0.000
5 Cl 0.168 0.775 0.191
6 Cl 0.669 0.729 0.002
7 Cl 0.840 0.233 0.193
8 Cl 0.832 0.225 0.809
9 Cl 0.331 0.271 0.998
10 Cl 0.160 0.767 0.807
11 Cl 0.599 0.722 0.503
12 Cl 0.401 0.278 0.497

## Properties
Fermi-level density of states: 2.43 states/eV per atom
ΔE_f (raw): -19.93 eV per formula unit
electronic total energy: -73.4 eV/f.u.
symmetry: P-1 (2)

---

# 3
Mg2BeF6 | PBE | optimized geometry

a = 3.127 Å, b = 5.067 Å, c = 8.139 Å
α = 61.28°, β = 78.92°, γ = 72.03°
Positions (direct):
1 Mg 0.234 0.215 0.317
2 Mg 0.766 0.785 0.683
3 Be 0.000 0.000 0.000
4 F 0.845 0.135 0.176
5 F 0.155 0.865 0.824
6 F 0.350 0.771 0.529
7 F 0.091 0.665 0.152
8 F 0.909 0.335 0.848
9 F 0.650 0.229 0.471

## Properties
Fermi-level density of states: 0.00 states/eV per atom
ΔE_f (raw): -29.11 eV per formula unit
electronic total energy: -47.2 eV/f.u.
symmetry: C2/m (12)

---

# 4
Al2InPd3Au3 | PBE | optimized geometry

a = 3.204 Å, b = 7.397 Å, c = 7.397 Å
α = 120.00°, β = 90.00°, γ = 90.00°
Positions (direct):
1 Al 0.500 0.667 0.333
2 Al 0.500 0.333 0.667
3 In 0.000 0.000 0.000
4 Pd 0.000 0.623 0.623
5 Pd 0.000 0.000 0.377
6 Pd 0.000 0.377 0.000
7 Au 0.500 0.691 0.000
8 Au 0.500 0.000 0.691
9 Au 0.500 0.309 0.309

## Properties
formation enthalpy at 0 K: -390 kJ/mol of formula units
Fermi-level density of states: 0.35 states/eV per atom
electronic total energy: -39.7 eV/f.u.
symmetry: P-62m (189)

---

# 5
LiCuAg2Cl5 | PBE | optimized geometry

a = 3.837 Å, b = 7.953 Å, c = 13.961 Å
α = 90.00°, β = 90.00°, γ = 103.96°
Positions (direct):
1 Li 0.819 0.638 0.550
2 Li 0.181 0.362 0.050
3 Cu 0.516 0.032 0.932
4 Cu 0.484 0.968 0.432
5 Ag 0.806 0.611 0.814
6 Ag 0.103 0.206 0.681
7 Ag 0.194 0.389 0.314
8 Ag 0.897 0.794 0.181
9 Cl 0.366 0.733 0.930
10 Cl 0.667 0.334 0.936
11 Cl 0.516 0.032 0.765
12 Cl 0.268 0.535 0.676
13 Cl 0.982 0.963 0.541
14 Cl 0.634 0.267 0.430
15 Cl 0.333 0.666 0.436
16 Cl 0.484 0.968 0.265
17 Cl 0.732 0.465 0.176
18 Cl 0.018 0.037 0.041

## Properties
Fermi-level density of states: 0.45 states/eV per atom
ΔE_f (raw): -6.46 eV per formula unit
electronic total energy: -27.4 eV/f.u.
symmetry: Cmc2_1 (36)

---

# 6
Ce2BeSnPt6 | PBE | optimized geometry

a = 6.354 Å, b = 6.911 Å, c = 5.520 Å
α = 66.40°, β = 64.23°, γ = 82.81°
Positions (direct):
1 Ce 0.784 0.276 0.469
2 Ce 0.216 0.724 0.531
3 Be 0.000 0.000 0.000
4 Sn 0.500 0.500 0.000
5 Pt 0.218 0.236 0.527
6 Pt 0.782 0.761 0.986
7 Pt 0.387 0.904 0.857
8 Pt 0.613 0.096 0.143
9 Pt 0.218 0.239 0.014
10 Pt 0.782 0.764 0.473

## Properties
formation enthalpy at 0 K: -721 kJ/mol of formula units
Fermi-level density of states: 1.29 states/eV per atom
electronic total energy: -63.3 eV/f.u.
symmetry: P-1 (2)

---

# 7
HfScPaN3 | PBE | optimized geometry

a = 3.300 Å, b = 5.690 Å, c = 8.576 Å
α = 102.88°, β = 90.00°, γ = 90.00°
Positions (direct):
1 Hf 0.250 0.132 0.639
2 Hf 0.750 0.868 0.361
3 Sc 0.250 0.772 0.048
4 Sc 0.750 0.228 0.952
5 Pa 0.250 0.350 0.304
6 Pa 0.750 0.650 0.696
7 N 0.750 0.051 0.161
8 N 0.250 0.949 0.839
9 N 0.250 0.739 0.495
10 N 0.750 0.261 0.505
11 N 0.750 0.548 0.168
12 N 0.250 0.452 0.832

## Properties
Fermi-level density of states: 0.49 states/eV per atom
ΔE_f (raw): -9.85 eV per formula unit
electronic total energy: -60.6 eV/f.u.
symmetry: P2_1/m (11)

---

# 8
Tb8Pr3Er2 | PBE | optimized geometry

a = 9.120 Å, b = 8.949 Å, c = 16.290 Å
α = 109.60°, β = 48.82°, γ = 120.63°
Positions (direct):
1 Tb 0.545 0.699 0.051
2 Tb 0.654 0.699 0.449
3 Tb 0.052 0.145 0.816
4 Tb 0.889 0.719 0.784
5 Tb 0.408 0.855 0.316
6 Tb 0.671 0.281 0.284
7 Tb 0.146 0.536 0.535
8 Tb 0.110 0.464 0.035
9 Tb 0.890 0.536 0.965
10 Tb 0.854 0.464 0.465
11 Tb 0.948 0.855 0.184
12 Tb 0.592 0.145 0.684
13 Tb 0.111 0.281 0.216
14 Tb 0.329 0.719 0.716
15 Tb 0.346 0.301 0.551
16 Tb 0.455 0.301 0.949
17 Pr 0.498 0.495 0.250
18 Pr 0.500 0.000 0.500
19 Pr 0.907 0.313 0.750
20 Pr 0.093 0.687 0.250
21 Pr 0.000 0.000 0.000
22 Pr 0.502 0.505 0.750
23 Er 0.518 0.113 0.104
24 Er 0.905 0.887 0.604
25 Er 0.095 0.113 0.396
26 Er 0.482 0.887 0.896

## Properties
formation enthalpy at 0 K: 218 kJ/mol of formula units
Fermi-level density of states: 1.39 states/eV per atom
electronic total energy: -58.2 eV/f.u.
symmetry: C2/c (15)

---

# 9
Rb2NdNpS4 | PBE | optimized geometry

a = 4.182 Å, b = 7.253 Å, c = 8.068 Å
α = 107.50°, β = 90.00°, γ = 90.00°
Positions (direct):
1 Rb 0.500 0.000 0.500
2 Rb 0.000 0.500 0.500
3 Nd 0.000 0.000 0.000
4 Np 0.500 0.500 0.000
5 S 0.500 0.237 0.197
6 S 0.500 0.763 0.803
7 S 0.000 0.276 0.808
8 S 0.000 0.724 0.192

## Properties
Fermi-level density of states: 1.00 states/eV per atom
ΔE_f (raw): -12.65 eV per formula unit
electronic total energy: -48.8 eV/f.u.
symmetry: P2/m (10)

---

# 10
SrNp2MnN4 | PBE | optimized geometry

a = 3.432 Å, b = 6.085 Å, c = 11.431 Å
α = 90.00°, β = 90.00°, γ = 106.38°
Positions (direct):
1 Sr 0.098 0.195 0.750
2 Sr 0.902 0.805 0.250
3 Np 0.369 0.738 0.554
4 Np 0.631 0.262 0.054
5 Np 0.631 0.262 0.446
6 Np 0.369 0.738 0.946
7 Mn 0.831 0.662 0.750
8 Mn 0.169 0.338 0.250
9 N 0.261 0.522 0.106
10 N 0.739 0.478 0.606
11 N 0.739 0.478 0.894
12 N 0.261 0.522 0.394
13 N 0.000 0.000 0.500
14 N 0.000 0.000 0.000
15 N 0.421 0.842 0.750
16 N 0.579 0.158 0.250

## Properties
Fermi-level density of states: 1.08 states/eV per atom
ΔE_f (raw): -7.50 eV per formula unit
electronic total energy: -77.5 eV/f.u.
symmetry: Cmcm (63)

---

# 11
SmHo2Al3 | PBE | optimized geometry

a = 3.598 Å, b = 3.598 Å, c = 10.942 Å
α = 90.00°, β = 90.00°, γ = 90.00°
Positions (direct):
1 Sm 0.500 0.500 0.500
2 Ho 0.500 0.500 0.837
3 Ho 0.500 0.500 0.163
4 Al 0.000 0.000 0.000
5 Al 0.000 0.000 0.676
6 Al 0.000 0.000 0.324

## Properties
formation enthalpy at 0 K: -226 kJ/mol of formula units
Fermi-level density of states: 0.36 states/eV per atom
electronic total energy: -27.4 eV/f.u.
symmetry: P4/mmm (123)

---

# 12
GdY2Zn | PBE | optimized geometry

a = 3.593 Å, b = 3.593 Å, c = 10.554 Å
α = 80.20°, β = 80.20°, γ = 60.00°
Positions (direct):
1 Y 0.262 0.262 0.215
2 Y 0.738 0.738 0.785
3 Zn 0.000 0.000 0.000
4 Gd 0.500 0.500 0.500

## Properties
formation enthalpy at 0 K: -25 kJ/mol of formula units
Fermi-level density of states: 1.18 states/eV per atom
electronic total energy: -28.5 eV/f.u.
symmetry: R-3m (166)

---

# 13
AgOsW2 | PBE | optimized geometry

a = 2.733 Å, b = 2.733 Å, c = 9.293 Å
α = 90.00°, β = 90.00°, γ = 110.51°
Positions (direct):
1 Os 0.500 0.500 0.765
2 Ag 0.000 0.000 0.501
3 W 0.000 0.000 0.996
4 W 0.500 0.500 0.237

## Properties
formation enthalpy at 0 K: 170 kJ/mol of formula units
Fermi-level density of states: 0.91 states/eV per atom
electronic total energy: -38.2 eV/f.u.
symmetry: Cmm2 (35)

---

# 14
Te2Pd8Pb | PBE | optimized geometry

a = 4.784 Å, b = 6.235 Å, c = 7.653 Å
α = 112.09°, β = 105.73°, γ = 95.68°
Positions (direct):
1 Te 0.757 0.605 0.229
2 Te 0.439 0.284 0.590
3 Pd 0.767 0.250 0.910
4 Pd 0.932 0.012 0.562
5 Pd 0.280 0.358 0.256
6 Pd 0.730 0.002 0.150
7 Pd 0.298 0.850 0.303
8 Pd 0.904 0.456 0.515
9 Pd 0.283 0.505 0.909
10 Pd 0.490 0.761 0.669
11 Pb 0.121 0.915 0.909

## Properties
Fermi-level density of states: 0.50 states/eV per atom
ΔE_f (raw): -2.91 eV per formula unit
electronic total energy: -54.4 eV/f.u.
symmetry: P1 (1)

---

# 15
FeOsW2 | PBE | optimized geometry

a = 9.044 Å, b = 9.044 Å, c = 9.044 Å
α = 17.57°, β = 17.57°, γ = 17.57°
Positions (direct):
1 Fe 0.250 0.250 0.250
2 Os 0.750 0.750 0.750
3 W 0.998 0.998 0.998
4 W 0.502 0.502 0.502

## Properties
formation enthalpy at 0 K: 108 kJ/mol of formula units
Fermi-level density of states: 1.22 states/eV per atom
electronic total energy: -44.5 eV/f.u.
symmetry: R-3m (166)

---

# 16
Ce3NdPt4 | PBE | optimized geometry

a = 3.824 Å, b = 6.766 Å, c = 8.725 Å
α = 112.81°, β = 102.66°, γ = 90.00°
Positions (direct):
1 Ce 0.000 0.500 0.000
2 Ce 0.202 0.202 0.403
3 Ce 0.798 0.798 0.597
4 Nd 0.500 0.000 0.000
5 Pt 0.368 0.573 0.736
6 Pt 0.632 0.427 0.264
7 Pt 0.632 0.837 0.264
8 Pt 0.368 0.163 0.736

## Properties
formation enthalpy at 0 K: -688 kJ/mol of formula units
Fermi-level density of states: 2.15 states/eV per atom
electronic total energy: -53.9 eV/f.u.
symmetry: Immm (71)

---

# 17
BeFeCo4 | PBE | optimized geometry

a = 3.921 Å, b = 3.921 Å, c = 5.530 Å
α = 69.23°, β = 69.23°, γ = 60.00°
Positions (direct):
1 Be 0.000 0.000 0.000
2 Fe 0.500 0.500 0.500
3 Co 0.706 0.706 0.881
4 Co 0.294 0.294 0.119
5 Co 0.133 0.133 0.601
6 Co 0.867 0.867 0.399

## Properties
formation enthalpy at 0 K: 148 kJ/mol of formula units
Fermi-level density of states: 1.23 states/eV per atom
electronic total energy: -39.1 eV/f.u.
symmetry: R-3m (166)

---

# 18
Hf3Cu2Tc | PBE | optimized geometry

a = 4.594 Å, b = 4.594 Å, c = 5.649 Å
α = 90.00°, β = 90.00°, γ = 120.00°
Positions (direct):
1 Hf 0.000 0.000 0.500
2 Hf 0.667 0.333 0.835
3 Hf 0.333 0.667 0.165
4 Cu 0.667 0.333 0.332
5 Cu 0.333 0.667 0.668
6 Tc 0.000 0.000 0.000

## Properties
formation enthalpy at 0 K: -162 kJ/mol of formula units
Fermi-level density of states: 0.76 states/eV per atom
electronic total energy: -50.1 eV/f.u.
symmetry: P-3m1 (164)

---

# 19
Hf2ZrBi4 | PBE | optimized geometry

a = 4.023 Å, b = 7.342 Å, c = 8.091 Å
α = 116.33°, β = 104.40°, γ = 90.00°
Positions (direct):
1 Hf 0.757 0.773 0.515
2 Hf 0.243 0.227 0.485
3 Zr 0.000 0.000 0.000
4 Bi 0.884 0.229 0.768
5 Bi 0.116 0.771 0.232
6 Bi 0.621 0.319 0.243
7 Bi 0.379 0.681 0.757

## Properties
formation enthalpy at 0 K: -70 kJ/mol of formula units
Fermi-level density of states: 0.56 states/eV per atom
electronic total energy: -44.7 eV/f.u.
symmetry: C2/m (12)

---

# 20
Mn2MoRh | PBE | optimized geometry

a = 8.781 Å, b = 8.781 Å, c = 8.781 Å
α = 17.74°, β = 17.74°, γ = 17.74°
Positions (direct):
1 Mn 0.997 0.997 0.997
2 Mn 0.256 0.256 0.256
3 Mo 0.500 0.500 0.500
4 Rh 0.747 0.747 0.747

## Properties
formation enthalpy at 0 K: 50 kJ/mol of formula units
Fermi-level density of states: 1.65 states/eV per atom
electronic total energy: -36.0 eV/f.u.
symmetry: R3m (160)